Record 1
Density functional theory data (GGA-PBE) for a geometry-optimized Lu2Zr4Cd3C3 structure.

The structure belongs to space group C2/c (No. 15); the cell edges are 10.185, 5.886 and 15.760 Å and the angles 90.00°, 102.63° and 90.00°. The distinct sites, in fractional coordinates, are Lu at (0.048, 0.080, 0.403), Zr at (0.109, 0.409, 0.577), Zr at (0.228, 0.420, 0.923), Cd at (0.000, 0.433, 0.750), Cd at (0.240, 0.154, 0.750), C at (0.085, 0.255, 0.000) and C at (0.250, 0.250, 0.500).

Its total energy is -318.48 eV per cell. As for the size of the total moment: 0.012 μB per cell.


Record 2
Density functional theory data (GGA-PBE) for a geometry-optimized Ta2CuB structure.

The structure belongs to space group P6_3/mmc (No. 194); the cell edges are 3.1690, 3.1690 and 13.3725 Å and the angles 90.00°, 90.00° and 120.00°. The distinct sites, in fractional coordinates, are Ta at (0.3333, 0.6667, 0.0957), Cu at (0.3333, 0.6667, 0.7500) and B at (0.0000, 0.0000, 0.0000).

Its total energy is -69.39 eV per cell. As for the size of the total moment: 0.010 μB per cell.


Record 3
Density functional theory data (GGA-PBE) for a geometry-optimized KScOsSe3 structure.

The structure belongs to space group P2_1/m (No. 11); the cell edges are 8.835, 3.981 and 9.577 Å and the angles 90.00°, 110.18° and 90.00°. The distinct sites, in fractional coordinates, are K at (0.199, 0.250, 0.233), Sc at (0.337, 0.750, 0.856), Os at (0.063, 0.250, 0.572), Se at (0.122, 0.250, 0.849), Se at (0.238, 0.750, 0.544) and Se at (0.453, 0.750, 0.153).

Its total energy is -69.37 eV per cell. As for the size of the total moment: 0.003 μB per cell. Its polymorph energy (0 for the lowest one) is 0.000 eV/atom.


Record 4
Density functional theory data (GGA-PBE) for a geometry-optimized NbNiB4 structure.

The structure belongs to space group P6/mmm (No. 191); the cell edges are 3.0433, 3.0433 and 6.3994 Å and the angles 90.00°, 90.00° and 120.00°. The distinct sites, in fractional coordinates, are Nb at (0.0000, 0.0000, 0.0000), Ni at (0.0000, 0.0000, 0.5000) and B at (0.3333, 0.6667, 0.2653).

Its total energy is -44.25 eV per cell. As for the size of the total moment: 0.001 μB per cell. Its polymorph energy (0 for the lowest one) is 0.000 eV/atom.


Record 5
Density functional theory data (GGA-PBE) for a geometry-optimized Lu4GePN2 structure.

The structure belongs to space group P-6m2 (No. 187); the cell edges are 3.5074, 3.5074 and 13.0409 Å and the angles 90.00°, 90.00° and 120.00°. The distinct sites, in fractional coordinates, are Lu at (0.0000, 0.0000, 0.1366), Lu at (0.3333, 0.6667, 0.3364), Ge at (0.0000, 0.0000, 0.5000), P at (0.3333, 0.6667, 0.0000) and N at (0.6667, 0.3333, 0.2410).

Its total energy is -55.59 eV per cell. As for the size of the total moment: 0.003 μB per cell.


Record 6
Density functional theory data (GGA-PBE) for a geometry-optimized Ho3Ni2Sn4 structure.

The structure belongs to space group C2/m (No. 12); the cell edges are 11.197, 4.425 and 8.502 Å and the angles 90.00°, 105.39° and 90.00°. The distinct sites, in fractional coordinates, are Ho at (0.000, 0.000, 0.000), Ho at (0.130, 0.500, 0.687), Ni at (0.203, 0.500, 0.392), Sn at (0.085, 0.000, 0.386) and Sn at (0.202, 0.500, 0.086).

Its total energy is -93.02 eV per cell. As for the size of the total moment: 0.006 μB per cell.


Record 7
Density functional theory data (GGA-PBE) for a geometry-optimized ZrNbGa2 structure.

The structure belongs to space group F-43m (No. 216); the cell edges are 6.612, 6.612 and 6.612 Å and the angles 90.00°, 90.00° and 90.00°. The distinct sites, in fractional coordinates, are Zr at (0.000, 0.000, 0.000), Nb at (0.250, 0.250, 0.750), Ga at (0.000, 0.000, 0.500) and Ga at (0.250, 0.250, 0.250).

Its total energy is -96.57 eV per cell. As for the size of the total moment: 2.279 μB per cell.


Record 8
Density functional theory data (GGA-PBE) for a geometry-optimized Cu3SbS3 structure.

The structure belongs to space group P2_12_12_1 (No. 19); the cell edges are 6.662, 7.904 and 10.212 Å and the angles 90.00°, 90.00° and 90.00°. The distinct sites, in fractional coordinates, are Cu at (0.023, 0.065, 0.030), Cu at (0.078, 0.683, 0.103), Cu at (0.145, 0.847, 0.398), Sb at (0.127, 0.719, 0.755), S at (0.084, 0.325, 0.931), S at (0.089, 0.325, 0.561) and S at (0.110, 0.051, 0.247).

Its total energy is -116.13 eV per cell. Its polymorph energy (0 for the lowest one) is 0.000 eV/atom.


Record 9
Density functional theory data (GGA-PBE) for a geometry-optimized ScTaNiAs structure.

The structure belongs to space group F-43m (No. 216); the cell edges are 6.350, 6.350 and 6.350 Å and the angles 90.00°, 90.00° and 90.00°. The distinct sites, in fractional coordinates, are Sc at (0.000, 0.000, 0.000), Ta at (0.250, 0.250, 0.250), Ni at (0.250, 0.250, 0.750) and As at (0.000, 0.000, 0.500).

Its total energy is -110.69 eV per cell. As for the size of the total moment: 1.071 μB per cell. Its polymorph energy (0 for the lowest one) is 0.000 eV/atom.


Record 10
Density functional theory data (GGA-PBE) for a geometry-optimized CdB4Ir structure.

The structure belongs to space group P6/mmm (No. 191); the cell edges are 3.0939, 3.0939 and 7.4694 Å and the angles 90.00°, 90.00° and 120.00°. The distinct sites, in fractional coordinates, are Cd at (0.0000, 0.0000, 0.0000), B at (0.3333, 0.6667, 0.2834) and Ir at (0.0000, 0.0000, 0.5000).

Its total energy is -33.58 eV per cell. As for the size of the total moment: 0.010 μB per cell. Its polymorph energy (0 for the lowest one) is 0.000 eV/atom.


Record 11
Density functional theory data (GGA-PBE) for a geometry-optimized RbHoO3 structure.

The structure belongs to space group Pnma (No. 62); the cell edges are 6.284, 8.884 and 6.272 Å and the angles 90.00°, 90.00° and 90.00°. The distinct sites, in fractional coordinates, are Rb at (0.000, 0.250, 0.000), Ho at (0.000, 0.000, 0.500), O at (0.001, 0.250, 0.497) and O at (0.247, 0.501, 0.247).

Its total energy is -119.31 eV per cell. As for the size of the total moment: 8.001 μB per cell.


Record 12
Density functional theory data (GGA-PBE) for a geometry-optimized PmScO3 structure.

The structure belongs to space group R-3 (No. 148, hexagonal axes); the cell edges are 5.6219, 5.6219 and 15.0143 Å and the angles 90.00°, 90.00° and 120.00°. The distinct sites, in fractional coordinates, are Pm at (0.0000, 0.0000, 0.1332), Sc at (0.0000, 0.0000, 0.3500) and O at (0.0250, 0.6349, 0.9211).

Its total energy is -258.01 eV per cell. As for the size of the total moment: 0.000 μB per cell.


Record 13
Density functional theory data (GGA-PBE) for a geometry-optimized ErMoPt structure.

The structure belongs to space group F-43m (No. 216); the cell edges are 6.417, 6.417 and 6.417 Å and the angles 90.00°, 90.00° and 90.00°. The distinct sites, in fractional coordinates, are Er at (0.000, 0.000, 0.000), Mo at (0.000, 0.000, 0.500) and Pt at (0.250, 0.250, 0.250).

Its total energy is -85.12 eV per cell. As for the size of the total moment: 3.610 μB per cell. As for the calculated formation energy: 0.062 eV/atom. Its polymorph energy (0 for the lowest one) is 0.000 eV/atom.


Record 14
Density functional theory data (GGA-PBE) for a geometry-optimized BeGaIr2 structure.

The structure belongs to space group Pnnm (No. 58); the cell edges are 4.159, 12.478 and 5.878 Å and the angles 90.00°, 90.00° and 90.00°. The distinct sites, in fractional coordinates, are Be at (0.000, 0.000, 0.000), Be at (0.002, 0.333, 0.000), Ga at (0.000, 0.000, 0.500), Ga at (0.001, 0.333, 0.500), Ir at (0.000, 0.500, 0.250) and Ir at (0.001, 0.167, 0.250).

Its total energy is -158.54 eV per cell. As for the size of the total moment: 0.001 μB per cell. Its polymorph energy (0 for the lowest one) is 0.014 eV/atom.